A relaxed Be2CuMo crystal, computed with PBE.

Results
Calculated total energy, eV per atom: -5.3318
Crystal system: orthorhombic
DOS(E_F), states/eV per cell: 4.65
Magnetization, μB/f.u.: 0.0
Formation energy from the elements, meV per atom: 263
E above lowest polymorph, meV per atom: 321

Cell and atoms, written as CIF:
```
data_Be2CuMo
_symmetry_space_group_name_H-M 'I m m m'
_symmetry_Int_Tables_number 71
_symmetry_space_group_name_Hall '-I 2 2'
_cell_length_a 2.539
_cell_length_b 4.498
_cell_length_c 8.226
_cell_angle_alpha 90.00
_cell_angle_beta 90.00
_cell_angle_gamma 90.00
loop_
_atom_site_label
_atom_site_type_symbol
_atom_site_fract_x
_atom_site_fract_y
_atom_site_fract_z
Be1 Be 0.000 0.000 0.230
Cu1 Cu 0.000 0.500 0.500
Mo1 Mo 0.000 0.500 0.000
```